# Na5B8C2, optimized geometry, DFT PBE
data_Na5B8C2
_chemical_formula_sum 'Na20 B32 C8'
_cell_length_a 23.4473
_cell_length_b 2.8185
_cell_length_c 10.1549
_cell_angle_alpha 90.00
_cell_angle_beta 106.09
_cell_angle_gamma 90.00
_symmetry_space_group_name_H-M 'C 1 2/m 1'
_symmetry_Int_Tables_number 12
loop_
_symmetry_equiv_pos_as_xyz
'x,y,z'
'-x,-y,-z'
'-x,y,-z'
'x,-y,z'
'x+1/2,y+1/2,z'
'-x+1/2,-y+1/2,-z'
'-x+1/2,y+1/2,-z'
'x+1/2,-y+1/2,z'
loop_
_atom_site_label
_atom_site_fract_x
_atom_site_fract_y
_atom_site_fract_z
Na1 0.0000 0.0000 0.0000
Na2 0.0000 0.5000 0.5000
Na3 0.0973 0.0000 0.6991
Na4 0.0992 0.5000 0.1997
Na5 0.1985 0.5000 0.8986
Na6 0.1999 0.0000 0.3992
B1 0.0091 0.5000 0.7667
B2 0.0751 0.5000 0.9013
B3 0.0821 0.0000 0.4171
B4 0.1156 0.0000 0.9834
B5 0.1721 0.5000 0.5960
B6 0.1795 0.0000 0.1111
B7 0.2139 0.0000 0.6784
B8 0.2228 0.5000 0.1968
C1 0.0212 0.0000 0.2954
C2 0.1131 0.5000 0.4792
# crystal system = monoclinic
# relative energy among the computed polymorphs = 0 meV/atom